First-principles (PBE) data for crystalline AgTe2WN at its relaxed geometry, as listed in the Alexandria database.

Structure (POSCAR):
```
AgTe2WN
1.0
-3.302 4.261 -0.916
-4.206 -3.417 -0.731
-0.799 0.184 3.733
Te W N Ag
2 1 1 1
Direct
0.000 0.500 0.000
0.500 0.000 0.000
0.000 0.000 0.000
0.000 0.000 0.500
0.500 0.500 0.500
```

Computed properties:
N(E_F): 4.392 states/eV/f.u.
Excess energy over the best structure of this formula in the dataset: 0 meV/atom
SG: P4/mmm
Formation energy from raw total energies: 368 meV/atom